No. 1
A geometry-optimized BaLaSn2F structure. Source: Alexandria via LeMat-Bulk, functional PBE.

## Properties
- Total energy: -3.340 eV/atom
- Calculated volume: 258 Å³/f.u.
- Magnetic moment: 0.525 μB per formula unit
- Energy relative to the elements, uncorrected: 5 meV per atom
- Symmetry: No. 123
- Density of states at the Fermi level: 6.1 states/eV/cell

a = 5.854 Å, b = 5.854 Å, c = 7.522 Å
α = 90.00°, β = 90.00°, γ = 90.00°
Fractional coordinates of all 5 atoms:
Ba 0.000 0.000 0.000
La 0.000 0.000 0.500
Sn 0.000 0.500 0.500
Sn 0.500 0.000 0.500
F 0.500 0.500 0.000

***

No. 2
A geometry-optimized BaSrLa2F structure. Source: Alexandria via LeMat-Bulk, functional PBE.

## Properties
- Total energy: -3.949 eV/atom
- Calculated volume: 174 Å³/f.u.
- Magnetic moment: 0.000 μB per formula unit
- Energy relative to the elements, uncorrected: -883 meV per atom
- Symmetry: No. 123
- Density of states at the Fermi level: 5.8 states/eV/cell

a = 5.368 Å, b = 5.368 Å, c = 6.051 Å
α = 90.00°, β = 90.00°, γ = 90.00°
Fractional coordinates of all 5 atoms:
Ba 0.000 0.000 0.000
Sr 0.500 0.500 0.000
La 0.000 0.500 0.500
La 0.500 0.000 0.500
F 0.000 0.000 0.500

***

No. 3
A geometry-optimized Ba2LaTcF structure. Source: Alexandria via LeMat-Bulk, functional PBE.

## Properties
- Total energy: -4.611 eV/atom
- Calculated volume: 147 Å³/f.u.
- Magnetic moment: 0.793 μB per formula unit
- Energy relative to the elements, uncorrected: -409 meV per atom
- Symmetry: No. 123
- Density of states at the Fermi level: 6.1 states/eV/cell

a = 5.295 Å, b = 5.295 Å, c = 5.235 Å
α = 90.00°, β = 90.00°, γ = 90.00°
Fractional coordinates of all 5 atoms:
Ba 0.000 0.500 0.000
Ba 0.500 0.000 0.000
La 0.000 0.000 0.500
Tc 0.500 0.500 0.500
F 0.000 0.000 0.000

***

No. 4
A geometry-optimized Ba2LaTcF structure. Source: Alexandria via LeMat-Bulk, functional PBE.

## Properties
- Total energy: -3.794 eV/atom
- Calculated volume: 201 Å³/f.u.
- Magnetic moment: 0.035 μB per formula unit
- Energy relative to the elements, uncorrected: 408 meV per atom
- Symmetry: No. 123
- Density of states at the Fermi level: 20.7 states/eV/cell

a = 6.753 Å, b = 6.753 Å, c = 4.407 Å
α = 90.00°, β = 90.00°, γ = 90.00°
Fractional coordinates of all 5 atoms:
Ba 0.000 0.500 0.000
Ba 0.500 0.000 0.000
La 0.000 0.000 0.000
Tc 0.500 0.500 0.500
F 0.000 0.000 0.500